No. 1
DFT (PBE) results for a relaxed structure of Sc4SnBi2.

Its distance to the lowest polymorph of the same formula is 0.0 meV/atom. As for the space group: No. 70. The formation energy from the elements is -0.417 eV/atom. As for the raw total energy: -5.72 eV/atom. The magnetization comes out at 0.0 μB per cell. Its crystal system is orthorhombic.

Cell: 7.954 7.954 7.942 Å, 108.78 108.78 110.93°
Fractional coordinates of all 14 atoms:
Sc 0.944 0.256 0.311
Sc 0.306 0.494 0.189
Sc 0.945 0.634 0.689
Sc 0.744 0.056 0.689
Sc 0.366 0.055 0.311
Sc 0.305 0.116 0.811
Sc 0.506 0.694 0.811
Sc 0.884 0.695 0.189
Sn 0.250 0.750 0.500
Sn 0.000 0.000 0.000
Bi 0.625 0.375 0.750
Bi 0.625 0.875 0.250
Bi 0.625 0.375 0.250
Bi 0.125 0.375 0.750

No. 2
DFT (PBE) results for a relaxed structure of Sc10Sn3Bi3.

As for the space group: No. 189. The formation energy from the elements is -0.641 eV/atom. As for the raw total energy: -6.08 eV/atom. The magnetization comes out at 0.7 μB per cell. Its crystal system is hexagonal.

Cell: 6.056 8.552 8.552 Å, 120.00 90.00 90.00°
Fractional coordinates of all 16 atoms:
Sc 0.256 0.667 0.333
Sc 0.256 0.333 0.667
Sc 0.744 0.333 0.667
Sc 0.744 0.667 0.333
Sc 0.500 0.000 0.761
Sc 0.500 0.761 0.000
Sc 0.500 0.239 0.239
Sc 0.000 0.000 0.237
Sc 0.000 0.237 0.000
Sc 0.000 0.763 0.763
Sn 0.500 0.000 0.390
Sn 0.500 0.390 0.000
Sn 0.500 0.610 0.610
Bi 0.000 0.000 0.607
Bi 0.000 0.607 0.000
Bi 0.000 0.393 0.393